[1]
VASP calculation (PBE) on a relaxed TlTeP crystal.

Unit cell a=4.626 b=4.626 c=4.933 alpha=90.00 beta=90.00 gamma=120.00
Sites, in units of the cell vectors:
1 Tl 0.667 0.333 0.702
2 Te 0.333 0.667 0.212
3 P 0.000 0.000 0.085

Properties
Polymorph energy (0 for the lowest one) ... 0.0497 eV/atom
Formation energy from raw total energies ... 227 meV/atom
Volume ... 91.4 Å³ per cell
Density ... 6.591 g/cm3
N(E_F) ... 0.27 states/eV per atom
Symmetry ... No. 156
Magnetic moment ... 0.00 Bohr magnetons per cell
Electronic total energy ... -3.412 eV per atom

[2]
VASP calculation (PBE) on a relaxed TlTeP crystal.

Unit cell a=3.649 b=3.649 c=6.945 alpha=90.00 beta=90.00 gamma=120.00
Sites, in units of the cell vectors:
1 Tl 0.333 0.667 0.700
2 Te 0.667 0.333 0.272
3 P 0.000 0.000 0.028

Properties
Polymorph energy (0 for the lowest one) ... 0.0842 eV/atom
Formation energy from raw total energies ... 262 meV/atom
Volume ... 80.1 Å³ per cell
Density ... 7.525 g/cm3
N(E_F) ... 0.53 states/eV per atom
Symmetry ... No. 156
Magnetic moment ... 0.00 Bohr magnetons per cell
Electronic total energy ... -3.378 eV per atom

[3]
VASP calculation (PBE) on a relaxed Tl2TeP crystal.

Unit cell a=5.411 b=5.411 c=5.411 alpha=122.16 beta=122.16 gamma=86.30
Sites, in units of the cell vectors:
1 Tl 0.000 0.000 0.000
2 Tl 0.250 0.750 0.500
3 Te 0.750 0.250 0.500
4 P 0.500 0.500 0.000

Properties
Polymorph energy (0 for the lowest one) ... 0.2364 eV/atom
Formation energy from raw total energies ... 346 meV/atom
Volume ... 108.1 Å³ per cell
Density ... 8.713 g/cm3
N(E_F) ... 0.62 states/eV per atom
Symmetry ... No. 119
Magnetic moment ... 0.00 Bohr magnetons per cell
Electronic total energy ... -2.975 eV per atom